Entry 1:
This record from Alexandria describes crystalline Tb2YHo at its relaxed geometry. The functional is PBE.

extended XYZ file:
```
8
Lattice="3.634 0.000 0.000 0.000 11.312 0.000 0.000 0.000 6.284" Properties=species:S:1:pos:R:3 pbc="T T T"
Tb 0.000 2.816 0.000
Tb 0.000 8.497 0.000
Tb 1.817 2.840 3.142
Tb 1.817 8.472 3.142
Y 0.000 0.000 4.192
Y 1.817 5.656 1.050
Ho 0.000 5.656 4.199
Ho 1.817 0.000 1.057
```

Output
space-group type: Imm2 (44)

Entry 2:
This record from Alexandria describes crystalline Ti2NbIn2 at its relaxed geometry. The functional is PBE.

extended XYZ file:
```
10
Lattice="13.742 0.000 0.000 0.000 4.805 0.000 -0.523 0.000 2.941" Properties=species:S:1:pos:R:3 pbc="T T T"
Ti 1.060 0.000 0.945
Ti 5.287 2.403 1.995
Ti 7.931 2.403 0.945
Ti 12.158 0.000 1.995
Nb -0.262 2.403 1.470
Nb 6.609 0.000 1.470
In 2.634 2.403 0.097
In 3.713 0.000 2.843
In 9.505 0.000 0.097
In 10.584 2.403 2.843
```

Output
space-group type: C2/m (12)

Table of V (Å³/atom), in record order: 32.292; 19.419
Table of calculated formation energy (eV/atom), in record order: 0.009; -0.062